Entry 1:
An optimized crystal structure of LaCu, computed with GGA-PBEsol.

Summary:
Calculated total energy (eV per atom): -4.75
Formation energy from the elements (meV per atom): 89
Magnetic moment (μB per formula unit): 0.000

a b c (Å): 3.7757 3.9678 3.9678
angles (deg): 120.00 90.00 90.00
Sites, in units of the cell vectors:
La 0.5000 0.6667 0.3333
Cu 0.0000 0.0000 0.0000

***

Entry 2:
An optimized crystal structure of LaCu5, computed with GGA-PBEsol.

Summary:
Calculated total energy (eV per atom): -4.63
Formation energy from the elements (meV per atom): -131
Magnetic moment (μB per formula unit): 0.000

a b c (Å): 4.0075 5.1057 5.1057
angles (deg): 120.00 90.00 90.00
Sites, in units of the cell vectors:
Cu 0.0000 0.5000 0.0000
Cu 0.0000 0.0000 0.5000
La 0.5000 0.0000 0.0000
Cu 0.5000 0.3333 0.6667
Cu 0.5000 0.6667 0.3333
Cu 0.0000 0.5000 0.5000

***

Entry 3:
An optimized crystal structure of La5Cu3, computed with GGA-PBEsol.

Summary:
Calculated total energy (eV per atom): -4.98
Polymorph energy (0 for the lowest one) (meV per atom): 26
Formation energy from the elements (meV per atom): -14
Magnetic moment (μB per formula unit): 0.000

a b c (Å): 6.1586 8.6837 8.6837
angles (deg): 82.78 69.23 69.23
Sites, in units of the cell vectors:
La 0.0925 0.1191 0.6960
Cu 0.2500 0.0000 0.0000
Cu 0.3426 0.8148 0.5000
La 0.9075 0.8809 0.3040
La 0.2115 0.6960 0.8809
Cu 0.8426 0.5000 0.8148
La 0.7115 0.8809 0.6960
La 0.2500 0.5000 0.5000
La 0.7885 0.3040 0.1191
Cu 0.1574 0.5000 0.1852
Cu 0.6574 0.1852 0.5000
La 0.5925 0.6960 0.1191
La 0.4075 0.3040 0.8809
Cu 0.7500 0.0000 0.0000
La 0.2885 0.1191 0.3040
La 0.7500 0.5000 0.5000

***

Entry 4:
An optimized crystal structure of LaCu3, computed with GGA-PBEsol.

Summary:
Calculated total energy (eV per atom): -4.55
Formation energy from the elements (meV per atom): 40
Magnetic moment (μB per formula unit): 0.000

a b c (Å): 3.1464 3.1461 6.5961
angles (deg): 90.00 90.00 90.00
Sites, in units of the cell vectors:
Cu 0.5000 0.5000 0.5000
La 0.5000 0.5000 0.0000
Cu 0.0000 0.0000 0.6812
Cu 0.0000 0.0000 0.3188

***

Entry 5:
An optimized crystal structure of LaCu, computed with GGA-PBEsol.

Summary:
Calculated total energy (eV per atom): -4.90
Formation energy from the elements (meV per atom): -57
Magnetic moment (μB per formula unit): 0.000

a b c (Å): 3.5891 4.5600 6.0626
angles (deg): 112.09 107.22 90.00
Sites, in units of the cell vectors:
La 0.5977 0.8477 0.1954
Cu 0.1712 0.4212 0.3425
Cu 0.8288 0.5788 0.6575
La 0.4023 0.1523 0.8046

***

Entry 6:
An optimized crystal structure of La5Cu3, computed with GGA-PBEsol.

Summary:
Calculated total energy (eV per atom): -5.01
Polymorph energy (0 for the lowest one) (meV per atom): 0
Formation energy from the elements (meV per atom): -39
Magnetic moment (μB per formula unit): 0.000

a b c (Å): 6.7596 8.4497 8.4497
angles (deg): 120.00 90.00 90.00
Sites, in units of the cell vectors:
La 0.2500 0.0000 0.7572
La 0.2500 0.7572 0.0000
La 0.7500 0.7572 0.7572
Cu 0.2500 0.6016 0.6016
La 0.5000 0.6667 0.3333
La 0.7500 0.2428 0.0000
La 0.7500 0.0000 0.2428
Cu 0.2500 0.0000 0.3984
Cu 0.7500 0.3984 0.3984
Cu 0.7500 0.0000 0.6016
Cu 0.7500 0.6016 0.0000
La 0.0000 0.6667 0.3333
La 0.0000 0.3333 0.6667
La 0.2500 0.2428 0.2428
La 0.5000 0.3333 0.6667
Cu 0.2500 0.3984 0.0000

***

Entry 7:
An optimized crystal structure of LaCu, computed with GGA-PBEsol.

Summary:
Calculated total energy (eV per atom): -4.93
Formation energy from the elements (meV per atom): -90
Magnetic moment (μB per formula unit): 0.000

a b c (Å): 4.2835 4.2835 6.5253
angles (deg): 70.84 70.84 60.00
Sites, in units of the cell vectors:
Cu 0.3307 0.3307 0.0078
La 0.9057 0.9057 0.2830
La 0.0943 0.0943 0.7170
Cu 0.6693 0.6693 0.9922

***

Entry 8:
An optimized crystal structure of LiLa2Cu, computed with GGA-PBEsol.

Summary:
Calculated total energy (eV per atom): -4.18
Polymorph energy (0 for the lowest one) (meV per atom): 60
Formation energy from the elements (meV per atom): 69
Magnetic moment (μB per formula unit): 0.000

a b c (Å): 5.1732 5.1774 5.1769
angles (deg): 120.00 90.00 119.97
Sites, in units of the cell vectors:
Cu 0.0000 0.0000 0.5000
Li 0.5000 0.0000 0.0000
La 0.7500 0.5001 0.7500
La 0.2500 0.4999 0.2500